First-principles (GGA-PBE) data for a geometry-optimized Ce3Cd5Te12 structure, as listed in the Alexandria database.

Cell lengths 15.3161, 15.3161, 15.3161 Å; angles 109.47, 109.47, 109.47 degrees
Positions (direct):
1 Te 0.3660 0.4166 0.0896
2 Te 0.6730 0.2236 0.5896
3 Te 0.0896 0.9166 0.3660
4 Te 0.3270 0.7764 0.4104
5 Te 0.9494 0.5834 0.1730
6 Te 0.5834 0.6340 0.4104
7 Te 0.9494 0.3660 0.2764
8 Te 0.5834 0.9494 0.6730
9 Te 0.9166 0.8270 0.5506
10 Te 0.3660 0.9494 0.7764
11 Te 0.4494 0.6730 0.0834
12 Te 0.7236 0.1340 0.0506
13 Te 0.9166 0.0896 0.8660
14 Te 0.1730 0.0834 0.9494
15 Te 0.6730 0.4494 0.5834
16 Te 0.4166 0.0506 0.3270
17 Te 0.4104 0.2764 0.3270
18 Te 0.2764 0.4104 0.8270
19 Te 0.5896 0.8660 0.4166
20 Te 0.2236 0.5506 0.6340
21 Te 0.5506 0.2236 0.1340
22 Te 0.6340 0.0506 0.2236
23 Te 0.7236 0.5896 0.1730
24 Te 0.0834 0.1730 0.4494
25 Te 0.0506 0.4166 0.8270
26 Te 0.4104 0.1340 0.5834
27 Te 0.0896 0.1730 0.2236
28 Te 0.4166 0.3660 0.5896
29 Te 0.9104 0.0834 0.6340
30 Te 0.5896 0.7236 0.6730
31 Te 0.1730 0.0896 0.7236
32 Te 0.2764 0.8660 0.9494
33 Te 0.4494 0.7764 0.8660
34 Te 0.1340 0.7236 0.5506
35 Te 0.9104 0.8270 0.7764
36 Te 0.3270 0.5506 0.4166
37 Te 0.2236 0.6730 0.0896
38 Te 0.0506 0.6340 0.7236
39 Te 0.5506 0.3270 0.9166
40 Te 0.7764 0.4494 0.3660
41 Te 0.8660 0.5896 0.9166
42 Te 0.0834 0.9104 0.1340
43 Te 0.6340 0.5834 0.9104
44 Te 0.8270 0.9166 0.0506
45 Te 0.8270 0.9104 0.2764
46 Te 0.7764 0.3270 0.9104
47 Te 0.8660 0.2764 0.4494
48 Te 0.1340 0.4104 0.0834
49 Cd 0.7500 0.1250 0.8750
50 Cd 0.6250 0.8750 0.2500
51 Cd 0.0000 0.5000 0.0000
52 Cd 0.6250 0.7500 0.8750
53 Cd 0.5000 0.5000 0.0000
54 Cd 0.0000 0.0000 0.0000
55 Cd 0.2500 0.8750 0.1250
56 Cd 0.5000 0.5000 0.5000
57 Cd 0.1250 0.7500 0.3750
58 Cd 0.1250 0.3750 0.2500
59 Cd 0.0000 0.5000 0.5000
60 Cd 0.7500 0.6250 0.3750
61 Cd 0.3750 0.2500 0.1250
62 Cd 0.5000 0.0000 0.5000
63 Cd 0.8750 0.2500 0.6250
64 Cd 0.8750 0.6250 0.7500
65 Cd 0.2500 0.3750 0.6250
66 Cd 0.3750 0.1250 0.7500
67 Cd 0.0000 0.0000 0.5000
68 Cd 0.5000 0.0000 0.0000
69 Ce 0.3750 0.7500 0.6250
70 Ce 0.7500 0.8750 0.6250
71 Ce 0.8750 0.7500 0.1250
72 Ce 0.3750 0.6250 0.2500
73 Ce 0.6250 0.2500 0.3750
74 Ce 0.1250 0.2500 0.8750
75 Ce 0.2500 0.1250 0.3750
76 Ce 0.2500 0.6250 0.8750
77 Ce 0.1250 0.8750 0.7500
78 Ce 0.7500 0.3750 0.1250
79 Ce 0.8750 0.1250 0.2500
80 Ce 0.6250 0.3750 0.7500

Space group: Ia-3d
DFT total energy, eV per atom: -3.61
Calculated volume, Å³/atom: 34.6
N(E_F), states/eV/cell: 44.82



First-principles (GGA-PBE) data for a geometry-optimized Ce2ThCd6 structure, as listed in the Alexandria database.

Cell lengths 3.3121, 8.8934, 8.8934 Å; angles 120.00, 90.00, 90.00 degrees
Positions (direct):
1 Th 0.0000 0.0000 0.0000
2 Cd 0.5000 0.3342 0.0000
3 Cd 0.5000 0.6658 0.0000
4 Cd 0.5000 0.0000 0.6658
5 Cd 0.5000 0.0000 0.3342
6 Cd 0.5000 0.6658 0.6658
7 Cd 0.5000 0.3342 0.3342
8 Ce 0.0000 0.6667 0.3333
9 Ce 0.0000 0.3333 0.6667

Energy of formation from the pure elements, eV per atom: -0.2345
Space group: P6/mmm
Calculated volume, Å³/atom: 25.2
N(E_F), states/eV/cell: 14.52